PBE CdGaGe2, optimized geometry; symmetry = F-43m, No. 216; calculated total energy = -12.27 eV per cell
1.0
0.000 3.441 3.441
3.441 0.000 3.441
3.441 3.441 0.000
Cd Ga Ge
1 1 2
Cartesian
0.000 0.000 0.000
5.161 5.161 5.161
1.720 1.720 1.720
3.441 3.441 3.441

PBE Cd2Ga2Ge3, optimized geometry; symmetry = R3m, No. 160; calculated total energy = -20.27 eV per cell
1.0
2.387 1.378 7.660
-2.387 1.378 7.660
0.000 -2.756 7.660
Cd Ga Ge
2 2 3
Cartesian
0.000 0.000 0.000
0.000 0.000 11.122
0.000 0.000 5.373
0.000 0.000 17.121
0.000 0.000 8.348
0.000 0.000 14.100
0.000 0.000 19.914

Q: What is the calculated total energy in the first record?
A: -12.27 eV per cell

Q: The lowest calculated total energy belongs to which entry?
A: Cd2Ga2Ge3

Q: The highest calculated total energy belongs to which entry?
A: CdGaGe2